6
Lattice="-0.3606 2.5556 -1.5367 0.0019 -2.6336 -1.4446 -14.9254 -1.0102 1.8221" Properties=species:S:1:pos:R:3 comment="Hg2W | Alexandria | PBE | relaxed" e_form_ev_per_atom=0.70 pbc="T T T"
Hg -2.7116 -0.1835 0.3310
Hg -7.4627 -0.5051 0.9111
Hg -12.2138 -0.8267 1.4911
Hg -0.2397 0.8259 -1.5060
W -10.0773 0.1600 -0.3050
W -5.3276 0.4815 -0.8848